Below is a relaxed structure of AlCdSi2B, with properties calculated at the GGA-PBE level.

The calculated volume comes out at 24.94 Å³ per atom. For the formation energy from raw total energies, the calculation gives 1971 meV per atom. The value obtained for the total energy is -2.46 eV per atom.

It has space group P4/mmm (No. 123), with a = 4.970 Å, b = 4.970 Å, c = 5.049 Å, α = 90.00°, β = 90.00° and γ = 90.00°. The distinct sites, in fractional coordinates, are Al at (0.000, 0.000, 0.000), Cd at (0.000, 0.000, 0.500), Si at (0.000, 0.500, 0.500) and B at (0.500, 0.500, 0.000).